Entry from Alexandria: a relaxed Rb2NiOsO crystal (PBE+U).

Cell and atoms, written as CIF:
```
data_Rb2NiOsO
_chemical_formula_sum 'Rb2 Ni1 Os1 O1'
_symmetry_space_group_name_H-M 'P 1'
_symmetry_Int_Tables_number 1
_cell_length_a 6.0907
_cell_length_b 4.6294
_cell_length_c 6.0907
_cell_angle_alpha 90.00
_cell_angle_beta 90.00
_cell_angle_gamma 90.00
loop_
_symmetry_equiv_pos_as_xyz
'x,y,z'
loop_
_atom_site_label
_atom_site_fract_x
_atom_site_fract_y
_atom_site_fract_z
_atom_site_occupancy
Ni1 0.0000 0.0000 0.0000 1
Os1 0.0000 0.5000 0.0000 1
O1 0.5000 0.5000 0.5000 1
Rb1 0.0000 0.0000 0.5000 1
Rb2 0.5000 0.0000 0.0000 1
```

Summary:
spin magnetization = 4.62 μB per formula unit
DOS(E_F) = 5.39 states/eV/cell
E_tot = -0.101 Ha/atom